# PBE-GGA Nd5CdHg4, relaxed
# * ρ: 9.59 g cm⁻³
# * ΔE_f: -0.4412 eV per atom
data_Nd5CdHg4
_chemical_formula_sum 'Nd5 Cd1 Hg4'
_cell_length_a 3.8463
_cell_length_b 3.8463
_cell_length_c 19.1490
_cell_angle_alpha 90.00
_cell_angle_beta 90.00
_cell_angle_gamma 90.00
_space_group_name_H-M_alt 'P 4/m m m'
_space_group_IT_number 123
_space_group_name_Hall '-P 4 2'
loop_
_atom_site_label
_atom_site_fract_x
_atom_site_fract_y
_atom_site_fract_z
_atom_site_occupancy
Nd1 0.0000 0.0000 0.0000 1
Nd2 0.0000 0.0000 0.1994 1
Nd3 0.0000 0.0000 0.3988 1
Cd1 0.5000 0.5000 0.5000 1
Hg1 0.5000 0.5000 0.0998 1
Hg2 0.5000 0.5000 0.3007 1